## Cs2Ag2Hg (GGA-PBE)

Data for Cs2Ag2Hg after structural relaxation.

Values from the calculation:
The energy comes out at -1.520 eV per atom. The value obtained for the energy above the most stable polymorph in this dataset is 77 meV/atom.

a = 8.6819 Å, b = 8.6819 Å, c = 5.3446 Å
α = 90.00°, β = 90.00°, γ = 90.00°
Space group P4/mbm (No. 127)
Asymmetric unit:
Cs (0.1800, 0.3200, 0.0000) (multiplicity 4)
Ag (0.1163, 0.6163, 0.5000) (multiplicity 4)
Hg (0.0000, 0.0000, 0.5000) (multiplicity 2)

## CsAgHg4 (GGA-PBE)

Data for CsAgHg4 after structural relaxation.

Values from the calculation:
The energy comes out at -0.925 eV per atom. The value obtained for the energy above the most stable polymorph in this dataset is 0 meV/atom.

a = 19.7463 Å, b = 8.0429 Å, c = 5.3777 Å
α = 90.00°, β = 98.13°, γ = 90.00°
Space group C2/m (No. 12)
Asymmetric unit:
Cs (0.1893, 0.0000, 0.2162) (multiplicity 4)
Ag (0.0202, 0.5000, 0.2616) (multiplicity 4)
Hg (0.0000, 0.1802, 0.0000) (multiplicity 4)
Hg (0.1122, 0.2948, 0.6713) (multiplicity 8)
Hg (0.1703, 0.5000, 0.2093) (multiplicity 4)

## Cs4Ag2Hg3 (GGA-PBE)

Data for Cs4Ag2Hg3 after structural relaxation.

Values from the calculation:
The energy comes out at -1.215 eV per atom.

a = 19.5735 Å, b = 4.9101 Å, c = 8.8537 Å
α = 90.00°, β = 108.56°, γ = 90.00°
Space group C2/m (No. 12)
Asymmetric unit:
Cs (0.0718, 0.0000, 0.3744) (multiplicity 4)
Cs (0.2344, 0.5000, 0.1925) (multiplicity 4)
Ag (0.0905, 0.0000, 0.9542) (multiplicity 4)
Hg (0.0000, 0.5000, 0.0000) (multiplicity 2)
Hg (0.0982, 0.5000, 0.7617) (multiplicity 4)

## CsAgHg (GGA-PBE)

Data for CsAgHg after structural relaxation.

Values from the calculation:
The energy comes out at -1.440 eV per atom. The value obtained for the energy above the most stable polymorph in this dataset is 4 meV/atom.

a = 11.5069 Å, b = 8.8820 Å, c = 5.1236 Å
α = 90.00°, β = 116.31°, γ = 90.00°
Space group C2/m (No. 12)
Asymmetric unit:
Cs (0.2454, 0.0000, 0.2451) (multiplicity 4)
Ag (0.0000, 0.3420, 0.0000) (multiplicity 4)
Hg (0.0000, 0.1845, 0.5000) (multiplicity 4)